PmZnP2O8: relaxed, GGA-PBE.

a = 5.168 Å, b = 5.168 Å, c = 6.833 Å
α = 90.00°, β = 90.00°, γ = 120.00°
Element x y z (fractional)
Pm1 0.000 0.000 0.000
Zn1 0.000 0.000 0.500
P1 0.333 0.667 0.777
P2 0.667 0.333 0.223
O1 0.169 0.338 0.710
O2 0.169 0.831 0.710
O3 0.333 0.667 0.004
O4 0.338 0.169 0.290
O5 0.662 0.831 0.710
O6 0.667 0.333 0.996
O7 0.831 0.169 0.290
O8 0.831 0.662 0.290

* mass density: 4.21 Mg/m³
* DOS at the Fermi energy: 7.91 states/eV per cell
* formation energy from raw total energies: -26.97 eV/f.u.
* space group: P-3m1, No. 164
* crystal system: trigonal

***

PrPO4: relaxed, GGA-PBE.

a = 5.994 Å, b = 5.994 Å, c = 5.994 Å
α = 105.94°, β = 105.94°, γ = 116.78°
Element x y z (fractional)
Pr1 0.375 0.625 0.750
Pr2 0.625 0.375 0.250
P1 0.125 0.875 0.250
P2 0.875 0.125 0.750
O1 0.142 0.722 0.420
O2 0.198 0.278 0.920
O3 0.278 0.198 0.420
O4 0.278 0.858 0.080
O5 0.722 0.142 0.920
O6 0.722 0.802 0.580
O7 0.802 0.722 0.080
O8 0.858 0.278 0.580

* mass density: 4.78 Mg/m³
* DOS at the Fermi energy: 0.00 states/eV per cell
* formation energy from raw total energies: -17.81 eV/f.u.
* space group: I4_1/amd, No. 141
* crystal system: tetragonal

***

Pr6PO12: relaxed, GGA-PBE.

a = 6.702 Å, b = 6.702 Å, c = 6.702 Å
α = 98.84°, β = 98.84°, γ = 98.84°
Element x y z (fractional)
Pr1 0.104 0.800 0.643
Pr2 0.200 0.357 0.896
Pr3 0.357 0.896 0.200
Pr4 0.643 0.104 0.800
Pr5 0.800 0.643 0.104
Pr6 0.896 0.200 0.357
P1 0.500 0.500 0.500
O1 0.055 0.904 0.323
O2 0.096 0.677 0.945
O3 0.239 0.435 0.522
O4 0.323 0.055 0.904
O5 0.435 0.522 0.239
O6 0.478 0.761 0.565
O7 0.522 0.239 0.435
O8 0.565 0.478 0.761
O9 0.677 0.945 0.096
O10 0.761 0.565 0.478
O11 0.904 0.323 0.055
O12 0.945 0.096 0.677

* mass density: 6.14 Mg/m³
* DOS at the Fermi energy: 8.69 states/eV per cell
* formation energy from raw total energies: -55.46 eV/f.u.
* space group: R-3, No. 148
* crystal system: trigonal

***

Pr3PO6: relaxed, GGA-PBE.

a = 7.398 Å, b = 7.398 Å, c = 6.195 Å
α = 90.00°, β = 90.00°, γ = 103.01°
Element x y z (fractional)
Pr1 0.095 0.905 0.500
Pr2 0.191 0.413 0.466
Pr3 0.413 0.191 0.966
Pr4 0.587 0.809 0.466
Pr5 0.809 0.587 0.966
Pr6 0.905 0.095 0.000
P1 0.329 0.671 0.902
P2 0.671 0.329 0.402
O1 0.116 0.606 0.807
O2 0.154 0.173 0.735
O3 0.173 0.154 0.235
O4 0.278 0.722 0.385
O5 0.394 0.884 0.807
O6 0.446 0.554 0.746
O7 0.554 0.446 0.246
O8 0.606 0.116 0.307
O9 0.722 0.278 0.885
O10 0.827 0.846 0.735
O11 0.846 0.827 0.235
O12 0.884 0.394 0.307

* mass density: 5.53 Mg/m³
* DOS at the Fermi energy: 0.00 states/eV per cell
* formation energy from raw total energies: -29.31 eV/f.u.
* space group: Cmc2_1, No. 36
* crystal system: orthorhombic

***

Please write out number 4 again, unchanged.
Pr3PO6: relaxed, GGA-PBE.

a = 7.398 Å, b = 7.398 Å, c = 6.195 Å
α = 90.00°, β = 90.00°, γ = 103.01°
Element x y z (fractional)
Pr1 0.095 0.905 0.500
Pr2 0.191 0.413 0.466
Pr3 0.413 0.191 0.966
Pr4 0.587 0.809 0.466
Pr5 0.809 0.587 0.966
Pr6 0.905 0.095 0.000
P1 0.329 0.671 0.902
P2 0.671 0.329 0.402
O1 0.116 0.606 0.807
O2 0.154 0.173 0.735
O3 0.173 0.154 0.235
O4 0.278 0.722 0.385
O5 0.394 0.884 0.807
O6 0.446 0.554 0.746
O7 0.554 0.446 0.246
O8 0.606 0.116 0.307
O9 0.722 0.278 0.885
O10 0.827 0.846 0.735
O11 0.846 0.827 0.235
O12 0.884 0.394 0.307

* mass density: 5.53 Mg/m³
* DOS at the Fermi energy: 0.00 states/eV per cell
* formation energy from raw total energies: -29.31 eV/f.u.
* space group: Cmc2_1, No. 36
* crystal system: orthorhombic

***

Q: Which of these has the lowest formation energy from raw total energies?
A: Pr6PO12

***

Q: Which of these has the lowest mass density?
A: PmZnP2O8